1.
PmGa2Se4 after structural relaxation, computed with PBE.

Unit cell a=7.7164 b=7.7164 c=6.4824 alpha=90.00 beta=90.00 gamma=90.00
Space group I4/m (No. 87)
One atom of each set of equivalent atoms:
Pm 0.0000 0.0000 0.0000 [2 per cell]
Ga 0.0000 0.5000 0.2500 [4 per cell]
Se 0.1663 0.3151 0.5000 [8 per cell]

Calculated values
**Total magnetization**: 0.000 Bohr magnetons per cell
**E_form (uncorrected)**: -766 meV per atom


2.
Ni2SbAs after structural relaxation, computed with PBE.

Unit cell a=3.7597 b=3.7597 c=8.8677 alpha=90.00 beta=90.00 gamma=90.00
Space group I-4m2 (No. 119)
One atom of each set of equivalent atoms:
Ni 0.0000 0.0000 0.0000 [2 per cell]
Ni 0.0000 0.5000 0.2500 [2 per cell]
Sb 0.0000 0.5000 0.7500 [2 per cell]
As 0.0000 0.0000 0.5000 [2 per cell]

Calculated values
**Total magnetization**: 0.000 Bohr magnetons per cell
**E_form (uncorrected)**: 129 meV per atom


3.
Ta2InAs after structural relaxation, computed with PBE.

Unit cell a=3.1647 b=3.1647 c=7.3779 alpha=90.00 beta=90.00 gamma=90.00
Space group P4/mmm (No. 123)
One atom of each set of equivalent atoms:
Ta 0.0000 0.0000 0.2054 [2 per cell]
In 0.5000 0.5000 0.5000 [1 per cell]
As 0.5000 0.5000 0.0000 [1 per cell]

Calculated values
**Energy relative to the lowest polymorph listed for this composition**: 2 meV/atom
**ΔE_f**: -2.3 kJ per mole of atoms
**Total magnetization**: 0.000 Bohr magnetons per cell


4.
Sm6SnAu5 after structural relaxation, computed with PBE.

Unit cell a=5.2062 b=7.4477 c=8.2691 alpha=90.00 beta=108.29 gamma=90.00
Space group P2/m (No. 10)
One atom of each set of equivalent atoms:
Sm 0.0000 0.2403 0.0000 [2 per cell]
Sm 0.3300 0.2476 0.6595 [4 per cell]
Sn 0.5000 0.5000 0.0000 [1 per cell]
Au 0.1593 0.5000 0.3202 [2 per cell]
Au 0.1668 0.0000 0.3345 [2 per cell]
Au 0.5000 0.0000 0.0000 [1 per cell]

Calculated values
**ΔE_f**: -74.1 kJ per mole of atoms
**Total magnetization**: 0.000 Bohr magnetons per cell


5.
Ac4Tb3Pr2 after structural relaxation, computed with PBE.

Unit cell a=11.8159 b=5.4231 c=11.3115 alpha=90.00 beta=107.46 gamma=90.00
Space group C2/m (No. 12)
One atom of each set of equivalent atoms:
Ac 0.0053 0.0000 0.3343 [4 per cell]
Ac 0.1662 0.5000 0.8880 [4 per cell]
Tb 0.0000 0.0000 0.0000 [2 per cell]
Tb 0.1643 0.5000 0.5506 [4 per cell]
Pr 0.1712 0.5000 0.2279 [4 per cell]

Calculated values
**ΔE_f**: 4.4 kJ per mole of atoms
**Total magnetization**: 0.000 Bohr magnetons per cell


6.
CeSm14Er after structural relaxation, computed with PBE.

Unit cell a=7.2380 b=7.2380 c=10.2166 alpha=90.00 beta=90.00 gamma=90.00
Space group P4/mmm (No. 123)
One atom of each set of equivalent atoms:
Ce 0.0000 0.0000 0.0000 [1 per cell]
Sm 0.0000 0.0000 0.5000 [1 per cell]
Sm 0.0000 0.5000 0.0000 [2 per cell]
Sm 0.0000 0.5000 0.5000 [2 per cell]
Sm 0.2491 0.2491 0.2476 [8 per cell]
Sm 0.5000 0.5000 0.5000 [1 per cell]
Er 0.5000 0.5000 0.0000 [1 per cell]

Calculated values
**ΔE_f**: 2.9 kJ per mole of atoms
**Total magnetization**: 0.992 Bohr magnetons per cell


7.
Ca3HIr after structural relaxation, computed with PBE.

Unit cell a=4.6714 b=4.6714 c=4.6714 alpha=90.00 beta=90.00 gamma=90.00
Space group Pm-3m (No. 221)
One atom of each set of equivalent atoms:
Ca 0.0000 0.0000 0.5000 [3 per cell]
H 0.0000 0.0000 0.0000 [1 per cell]
Ir 0.5000 0.5000 0.5000 [1 per cell]

Calculated values
**Energy relative to the lowest polymorph listed for this composition**: 0 meV/atom
**Total magnetization**: 0.000 Bohr magnetons per cell


8.
NdAl4Ag2Au after structural relaxation, computed with PBE.

Unit cell a=4.4321 b=4.4321 c=27.4263 alpha=90.00 beta=90.00 gamma=120.00
Space group R-3m (No. 166, hexagonal axes)
One atom of each set of equivalent atoms:
Nd 0.0000 0.0000 0.0000 [3 per cell]
Al 0.0000 0.0000 0.1258 [6 per cell]
Al 0.0000 0.0000 0.4018 [6 per cell]
Ag 0.0000 0.0000 0.2475 [6 per cell]
Au 0.0000 0.0000 0.5000 [3 per cell]

Calculated values
**ΔE_f**: -27.3 kJ per mole of atoms
**Total magnetization**: 0.000 Bohr magnetons per cell